Entry 1:
A plane-wave DFT calculation with PBE-GGA was carried out for a relaxed GaHg2Sb crystal.

Computed properties:
raw formation energy = 0.172 eV per atom
total energy = -1.766 eV/atom
D(E_F) = 3.111 states/eV/cell
energy above the lowest structure with this stoichiometry = 0.0479 eV/atom

Cell lengths 3.1898, 3.1898, 11.7719 Å; angles 82.21, 82.21, 60.00 degrees
Last column: nearest neighbours and their distance in Å.
Positions (direct):
1 Sb 0.5000 0.5000 0.5000  6 Sb 3.19, 6 Hg 3.52
2 Hg 0.0808 0.0808 0.7576  1 Ga 2.82
3 Hg 0.9192 0.9192 0.2424  1 Ga 2.82
4 Ga 0.0000 0.0000 0.0000  2 Hg 2.82

=====

Entry 2:
A plane-wave DFT calculation with PBE-GGA was carried out for a relaxed Mg2SbSe crystal.

Computed properties:
raw formation energy = -0.018 eV per atom
total energy = -2.717 eV/atom
D(E_F) = 1.240 states/eV/cell
energy above the lowest structure with this stoichiometry = 0.6921 eV/atom

Cell lengths 5.1038, 5.1038, 5.1038 Å; angles 60.00, 60.00, 60.00 degrees
Last column: nearest neighbours and their distance in Å.
Positions (direct):
1 Mg 0.0000 0.0000 0.0000  4 Mg 3.13, 4 Se 3.13
2 Mg 0.2500 0.2500 0.2500  4 Sb 3.13, 4 Mg 3.13
3 Sb 0.5000 0.5000 0.5000  4 Se 3.13, 4 Mg 3.13
4 Se 0.7500 0.7500 0.7500  4 Sb 3.13, 4 Mg 3.13